# SrAl3Tc, relaxed, DFT GGA-PBE
data_SrAl3Tc
_symmetry_space_group_name_H-M 'P 63/m m c'
_symmetry_Int_Tables_number 194
_symmetry_space_group_name_Hall '-P 6c 2c'
_cell_length_a 4.7091
_cell_length_b 4.7091
_cell_length_c 10.0313
_cell_angle_alpha 90.00
_cell_angle_beta 90.00
_cell_angle_gamma 120.00
loop_
_atom_site_label
_atom_site_type_symbol
_atom_site_fract_x
_atom_site_fract_y
_atom_site_fract_z
Sr1 Sr 0.3333 0.6667 0.2500
Al1 Al 0.0000 0.0000 0.2500
Al2 Al 0.3333 0.6667 0.5612
Tc1 Tc 0.0000 0.0000 0.0000
# E_tot in eV/cell: -47.08
# Energy of formation in eV per atom: -0.053
# Energy above the most stable polymorph in this dataset in meV per atom: 270
# Volume in A^3/atom: 19.26

---

# CuB2Pd2, relaxed, DFT GGA-PBE
data_CuB2Pd2
_symmetry_space_group_name_H-M 'P 4/m b m'
_symmetry_Int_Tables_number 127
_symmetry_space_group_name_Hall '-P 4 2ab'
_cell_length_a 5.743
_cell_length_b 5.743
_cell_length_c 3.251
_cell_angle_alpha 90.00
_cell_angle_beta 90.00
_cell_angle_gamma 90.00
loop_
_atom_site_label
_atom_site_type_symbol
_atom_site_fract_x
_atom_site_fract_y
_atom_site_fract_z
Cu1 Cu 0.000 0.000 0.000
B1 B 0.109 0.391 0.000
Pd1 Pd 0.181 0.681 0.500
# E_tot in eV/cell: -55.20
# Energy of formation in eV per atom: 0.048
# Volume in A^3/atom: 10.72

---

# Ce4PaSb6, relaxed, DFT GGA-PBE
data_Ce4PaSb6
_symmetry_space_group_name_H-M 'R -3 c'
_symmetry_Int_Tables_number 167
_symmetry_space_group_name_Hall '-R 3 2"c'
_cell_length_a 12.3246
_cell_length_b 12.3246
_cell_length_c 15.4897
_cell_angle_alpha 90.00
_cell_angle_beta 90.00
_cell_angle_gamma 120.00
loop_
_atom_site_label
_atom_site_type_symbol
_atom_site_fract_x
_atom_site_fract_y
_atom_site_fract_z
Ce1 Ce 0.0000 0.0000 0.2500
Ce2 Ce 0.0000 0.3885 0.2500
Pa1 Pa 0.0000 0.0000 0.0000
Sb1 Sb 0.0332 0.2135 0.3865
# E_tot in eV/cell: -401.16
# Uncorrected formation energy in eV/atom: -0.81
# Volume in A^3/atom: 30.87

---

# ZrNi2Ag, relaxed, DFT GGA-PBE
data_ZrNi2Ag
_symmetry_space_group_name_H-M 'R 3 m'
_symmetry_Int_Tables_number 160
_symmetry_space_group_name_Hall 'R 3 -2"'
_cell_length_a 2.8436
_cell_length_b 2.8436
_cell_length_c 26.8879
_cell_angle_alpha 90.00
_cell_angle_beta 90.00
_cell_angle_gamma 120.00
loop_
_atom_site_label
_atom_site_type_symbol
_atom_site_fract_x
_atom_site_fract_y
_atom_site_fract_z
Zr1 Zr 0.0000 0.0000 0.0000
Ni1 Ni 0.0000 0.0000 0.4861
Ni2 Ni 0.0000 0.0000 0.7506
Ag1 Ag 0.0000 0.0000 0.2346
# E_tot in eV/cell: -66.00
# Energy of formation in eV per atom: 0.241
# Energy above the most stable polymorph in this dataset in meV per atom: 432
# Volume in A^3/atom: 15.69

---

# VFeNi, relaxed, DFT GGA-PBE
data_VFeNi
_symmetry_space_group_name_H-M 'P 3 m 1'
_symmetry_Int_Tables_number 156
_cell_length_a 4.0598
_cell_length_b 4.0598
_cell_length_c 2.4537
_cell_angle_alpha 90.00
_cell_angle_beta 90.00
_cell_angle_gamma 120.00
loop_
_symmetry_equiv_pos_as_xyz
'x,y,z'
'-y,x-y,z'
'-x+y,-x,z'
'-y,-x,z'
'-x+y,y,z'
'x,x-y,z'
loop_
_atom_site_label
_atom_site_type_symbol
_atom_site_fract_x
_atom_site_fract_y
_atom_site_fract_z
V1 V 0.0000 0.0000 0.0000
Fe1 Fe 0.3333 0.6667 0.2589
Ni1 Ni 0.6667 0.3333 0.6534
# E_tot in eV/cell: -23.52
# Energy of formation in eV per atom: -0.051
# Energy above the most stable polymorph in this dataset in meV per atom: 38
# Volume in A^3/atom: 11.67

---

# FeReRu3, relaxed, DFT GGA-PBE
data_FeReRu3
_symmetry_space_group_name_H-M 'P m -3 m'
_symmetry_Int_Tables_number 221
_symmetry_space_group_name_Hall '-P 4 2 3'
_cell_length_a 4.319
_cell_length_b 4.319
_cell_length_c 4.319
_cell_angle_alpha 90.00
_cell_angle_beta 90.00
_cell_angle_gamma 90.00
loop_
_atom_site_label
_atom_site_type_symbol
_atom_site_fract_x
_atom_site_fract_y
_atom_site_fract_z
Fe1 Fe 0.000 0.000 0.000
Re1 Re 0.500 0.500 0.500
Ru1 Ru 0.000 0.000 0.500
# E_tot in eV/cell: -40.48
# Energy of formation in eV per atom: 1.651
# Energy above the most stable polymorph in this dataset in meV per atom: 0
# Volume in A^3/atom: 16.12

---

# Ir2Br, relaxed, DFT GGA-PBE
data_Ir2Br
_symmetry_space_group_name_H-M 'I 4/m m m'
_symmetry_Int_Tables_number 139
_symmetry_space_group_name_Hall '-I 4 2'
_cell_length_a 3.060
_cell_length_b 3.060
_cell_length_c 11.518
_cell_angle_alpha 90.00
_cell_angle_beta 90.00
_cell_angle_gamma 90.00
loop_
_atom_site_label
_atom_site_type_symbol
_atom_site_fract_x
_atom_site_fract_y
_atom_site_fract_z
Ir1 Ir 0.000 0.000 0.189
Br1 Br 0.000 0.000 0.500
# E_tot in eV/cell: -33.09
# Uncorrected formation energy in eV/atom: 0.95
# Energy above the most stable polymorph in this dataset in meV per atom: 594
# Volume in A^3/atom: 17.98

---

# TmSiPd4, relaxed, DFT GGA-PBE
data_TmSiPd4
_symmetry_space_group_name_H-M 'P m m a'
_symmetry_Int_Tables_number 51
_cell_length_a 7.712
_cell_length_b 3.825
_cell_length_c 6.863
_cell_angle_alpha 90.00
_cell_angle_beta 90.00
_cell_angle_gamma 90.00
loop_
_symmetry_equiv_pos_as_xyz
'x,y,z'
'-x,-y,-z'
'-x+1/2,-y,z'
'x+1/2,y,-z'
'x+1/2,-y,-z'
'-x+1/2,y,z'
'-x,y,-z'
'x,-y,z'
loop_
_atom_site_label
_atom_site_type_symbol
_atom_site_fract_x
_atom_site_fract_y
_atom_site_fract_z
Tm1 Tm 0.250 0.000 0.135
Si1 Si 0.250 0.000 0.709
Pd1 Pd 0.000 0.000 0.500
Pd2 Pd 0.063 0.500 0.808
Pd3 Pd 0.250 0.500 0.442
# E_tot in eV/cell: -70.70
# Uncorrected formation energy in eV/atom: -0.78
# Volume in A^3/atom: 16.87

---

> Number 7 is which compound?

Ir2Br

---

> Among the records above, which one has the lowest E_tot?

Ce4PaSb6

---

> Which of these has the lowest E_tot?

Ce4PaSb6

---

> Which value of volume does entry 3 give?

30.87 A^3/atom